Record 1
First-principles (PBE) data for Nb2CSeS after structural relaxation, as listed in OQMD.

Values from the calculation:
- E (eV/f.u.) = -41.1

Lattice parameters (Å, degrees): 3.3170 3.3170 9.7561 90.00 90.00 120.00
With the nearest neighbours (Å) after each atom.
Atoms (fractional coordinates):
Nb  0.0000  0.0000  0.0000  3 C 2.24
Nb  0.3333  0.6667  0.2416  3 C 2.26, 3 S 2.51
C  0.6667  0.3333  0.1185  6 Nb 2.24-2.26
Se  0.3333  0.6667  0.8122  3 Nb 2.65
S  0.0000  0.0000  0.4085  3 Nb 2.51


Record 2
First-principles (PBE) data for Nb4Sn2CS after structural relaxation, as listed in OQMD.

Values from the calculation:
- E (eV/f.u.) = -64.6

Lattice parameters (Å, degrees): 3.4406 3.4406 13.7456 90.00 90.00 120.00
With the nearest neighbours (Å) after each atom.
Atoms (fractional coordinates):
Nb  0.3333  0.6667  0.0964  3 S 2.39
Nb  0.3333  0.6667  0.4236  3 C 2.25
Nb  0.6667  0.3333  0.5764  3 C 2.25
Nb  0.6667  0.3333  0.9036  3 S 2.39
Sn  0.3333  0.6667  0.7420  6 Nb 2.98-3.02
Sn  0.6667  0.3333  0.2580  6 Nb 2.98-3.02
C  0.0000  0.0000  0.5000  6 Nb 2.25
S  0.0000  0.0000  0.0000  6 Nb 2.39


Record 3
First-principles (PBE) data for NbSnCS after structural relaxation, as listed in OQMD.

Values from the calculation:
- distance to the lowest polymorph of the same formula (eV per atom) = 0.002

Lattice parameters (Å, degrees): 3.3089 3.3089 15.5302 90.00 90.00 120.00
With the nearest neighbours (Å) after each atom.
Atoms (fractional coordinates):
Nb  0.3333  0.6667  0.2905  3 C 2.14
Nb  0.6667  0.3333  0.7095  3 C 2.14
Sn  0.0000  0.0000  0.0000  2 S 2.84
Sn  0.0000  0.0000  0.5000  2 C 2.28
C  0.0000  0.0000  0.3532  3 Nb 2.14, 1 Sn 2.28
C  0.0000  0.0000  0.6468  3 Nb 2.14, 1 Sn 2.28
S  0.0000  0.0000  0.1827  3 Nb 2.54, 1 C 2.65, 1 Sn 2.84
S  0.0000  0.0000  0.8173  3 Nb 2.54, 1 C 2.65, 1 Sn 2.84


Record 4
First-principles (PBE) data for NbSnCS after structural relaxation, as listed in OQMD.

Values from the calculation:
- distance to the lowest polymorph of the same formula (eV per atom) = 0.000

Lattice parameters (Å, degrees): 3.4567 3.4567 15.4057 90.00 90.00 120.00
With the nearest neighbours (Å) after each atom.
Atoms (fractional coordinates):
Nb  0.0000  0.0000  0.0000  6 S 2.51
Nb  0.3333  0.6667  0.5000  6 C 2.14
Sn  0.6667  0.3333  0.3009  1 C 2.29
Sn  0.6667  0.3333  0.6991  1 C 2.29
C  0.6667  0.3333  0.4498  1 C 1.55
C  0.6667  0.3333  0.5502  1 C 1.55
S  0.6667  0.3333  0.0989  3 Nb 2.51
S  0.6667  0.3333  0.9011  3 Nb 2.51